Entry 1:
! Na2AlOF, optimized geometry, DFT PBE; values from VASP
! * M_tot: 0.000 μB per cell
! * volume: 26.155 Å³ per atom
! * ρ: 1.37 g/cm3
! * ΔE_f (raw): -0.69 eV per atom
! * SG: P4/mmm
! * DFT total energy: -16.67 eV/f.u.
&SYSTEM
  ibrav = 0, nat = 5, ntyp = 4
/
ATOMIC_SPECIES
Na 22.99 Na.upf
Al 26.98 Al.upf
O 16.00 O.upf
F 19.00 F.upf
CELL_PARAMETERS angstrom
4.1489 0.0000 0.0000
0.0000 4.1489 0.0000
0.0000 0.0000 7.5975
ATOMIC_POSITIONS crystal
Na 0.0000 0.5000 0.0000
Na 0.5000 0.0000 0.0000
Al 0.0000 0.0000 0.5000
O 0.5000 0.5000 0.0000
F 0.5000 0.5000 0.5000


Entry 2:
! SrIn2Cu2, optimized geometry, DFT PBE; values from VASP
! * M_tot: 0.000 μB per cell
! * volume: 21.935 Å³ per atom
! * ρ: 6.73 g/cm3
! * formation energy: 0.065 eV per atom
! * SG: P4/mbm
! * DFT total energy: -15.02 eV/f.u.
&SYSTEM
  ibrav = 0, nat = 10, ntyp = 3
/
ATOMIC_SPECIES
Sr 87.62 Sr.upf
In 114.82 In.upf
Cu 63.55 Cu.upf
CELL_PARAMETERS angstrom
8.3027 0.0000 0.0000
0.0000 8.3027 0.0000
0.0000 0.0000 3.1820
ATOMIC_POSITIONS crystal
Sr 0.0000 0.0000 0.0000
Sr 0.5000 0.5000 0.0000
In 0.1302 0.3698 0.0000
In 0.3698 0.8698 0.0000
In 0.6302 0.1302 0.0000
In 0.8698 0.6302 0.0000
Cu 0.1651 0.6651 0.5000
Cu 0.3349 0.1651 0.5000
Cu 0.6651 0.8349 0.5000
Cu 0.8349 0.3349 0.5000


Entry 3:
! Lu2CoP, optimized geometry, DFT PBE; values from VASP
! * M_tot: 3.056 μB per cell
! * volume: 23.449 Å³ per atom
! * ρ: 7.79 g/cm3
! * formation energy: -0.053 eV per atom
! * SG: R-3m
! * DFT total energy: -21.77 eV/f.u.
&SYSTEM
  ibrav = 0, nat = 12, ntyp = 3
/
ATOMIC_SPECIES
Lu 174.97 Lu.upf
Co 58.93 Co.upf
P 30.97 P.upf
CELL_PARAMETERS angstrom
3.6294 0.0000 0.0000
-1.8147 3.1432 0.0000
0.0000 0.0000 24.6657
ATOMIC_POSITIONS crystal
Lu 0.0000 0.0000 0.1004
Lu 0.0000 0.0000 0.8996
Lu 0.3333 0.6667 0.5662
Lu 0.3333 0.6667 0.7671
Lu 0.6667 0.3333 0.2329
Lu 0.6667 0.3333 0.4338
Co 0.0000 0.0000 0.0000
Co 0.3333 0.6667 0.6667
Co 0.6667 0.3333 0.3333
P 0.0000 0.0000 0.5000
P 0.3333 0.6667 0.1667
P 0.6667 0.3333 0.8333


Entry 4:
! CrSbRu, optimized geometry, DFT PBE; values from VASP
! * M_tot: 0.012 μB per cell
! * volume: 15.924 Å³ per atom
! * ρ: 9.55 g/cm3
! * ΔE_f (raw): 0.31 eV per atom
! * SG: I4mm
! * DFT total energy: -22.08 eV/f.u.
&SYSTEM
  ibrav = 0, nat = 6, ntyp = 3
/
ATOMIC_SPECIES
Cr 52.00 Cr.upf
Sb 121.76 Sb.upf
Ru 101.07 Ru.upf
CELL_PARAMETERS angstrom
2.9571 0.0000 0.0000
0.0000 2.9571 0.0000
0.0000 0.0000 10.9265
ATOMIC_POSITIONS crystal
Cr 0.0000 0.0000 0.0000
Cr 0.5000 0.5000 0.5000
Sb 0.0000 0.0000 0.6770
Sb 0.5000 0.5000 0.1770
Ru 0.0000 0.0000 0.3682
Ru 0.5000 0.5000 0.8682


Entry 5:
! Ca3SmPa2N6, optimized geometry, DFT PBE; values from VASP
! * M_tot: 0.001 μB per cell
! * volume: 15.737 Å³ per atom
! * ρ: 7.18 g/cm3
! * ΔE_f (raw): -1.45 eV per atom
! * SG: C2/m
! * DFT total energy: -97.10 eV/f.u.
&SYSTEM
  ibrav = 0, nat = 12, ntyp = 4
/
ATOMIC_SPECIES
Ca 40.08 Ca.upf
Sm 150.36 Sm.upf
Pa 231.04 Pa.upf
N 14.01 N.upf
CELL_PARAMETERS angstrom
7.6515 -1.7891 0.0000
7.6515 1.7891 0.0000
-1.5423 0.0000 6.8976
ATOMIC_POSITIONS crystal
Ca 0.0000 0.0000 0.0000
Ca 0.3342 0.3342 0.6670
Ca 0.6658 0.6658 0.3330
Sm 0.0000 0.0000 0.5000
Pa 0.3352 0.3352 0.1712
Pa 0.6648 0.6648 0.8288
N 0.1663 0.1663 0.6118
N 0.1765 0.1765 0.0601
N 0.4857 0.4857 0.2465
N 0.5143 0.5143 0.7535
N 0.8235 0.8235 0.9399
N 0.8337 0.8337 0.3882


Entry 6:
! CoCuOs4, optimized geometry, DFT PBE; values from VASP
! * M_tot: 2.815 μB per cell
! * volume: 15.581 Å³ per atom
! * ρ: 15.69 g/cm3
! * formation energy: 0.949 eV per atom
! * SG: F-43m
! * DFT total energy: -50.43 eV/f.u.
&SYSTEM
  ibrav = 0, nat = 6, ntyp = 3
/
ATOMIC_SPECIES
Co 58.93 Co.upf
Cu 63.55 Cu.upf
Os 190.23 Os.upf
CELL_PARAMETERS angstrom
0.0000 3.6023 3.6023
3.6023 0.0000 3.6023
3.6023 3.6023 0.0000
ATOMIC_POSITIONS crystal
Co 0.0000 0.0000 0.0000
Cu 0.7500 0.7500 0.7500
Os 0.3750 0.3750 0.3750
Os 0.3750 0.3750 0.8751
Os 0.3750 0.8751 0.3750
Os 0.8751 0.3750 0.3750


Entry 7:
! MgPb2W, optimized geometry, DFT PBE; values from VASP
! * M_tot: 0.000 μB per cell
! * volume: 22.574 Å³ per atom
! * ρ: 11.45 g/cm3
! * formation energy: 0.714 eV per atom
! * SG: C2/m
! * DFT total energy: -19.11 eV/f.u.
&SYSTEM
  ibrav = 0, nat = 8, ntyp = 3
/
ATOMIC_SPECIES
Mg 24.30 Mg.upf
Pb 207.20 Pb.upf
W 183.84 W.upf
CELL_PARAMETERS angstrom
10.1637 0.0000 0.0000
0.0000 3.1308 0.0000
-0.7919 0.0000 5.6754
ATOMIC_POSITIONS crystal
Mg 0.0000 0.0000 0.0000
Mg 0.5000 0.5000 0.0000
Pb 0.2396 0.0000 0.7372
Pb 0.2604 0.5000 0.2628
Pb 0.7396 0.5000 0.7372
Pb 0.7604 0.0000 0.2628
W 0.0000 0.5000 0.5000
W 0.5000 0.0000 0.5000


Entry 8:
! BaZnNiAs2, optimized geometry, DFT PBE; values from VASP
! * M_tot: 0.000 μB per cell
! * volume: 21.625 Å³ per atom
! * ρ: 6.32 g/cm3
! * formation energy: -0.579 eV per atom
! * SG: I-4m2
! * DFT total energy: -21.17 eV/f.u.
&SYSTEM
  ibrav = 0, nat = 10, ntyp = 4
/
ATOMIC_SPECIES
Ba 137.33 Ba.upf
Zn 65.41 Zn.upf
Ni 58.69 Ni.upf
As 74.92 As.upf
CELL_PARAMETERS angstrom
4.1673 0.0000 0.0000
0.0000 4.1673 0.0000
0.0000 0.0000 12.4520
ATOMIC_POSITIONS crystal
Ba 0.0000 0.0000 0.0000
Ba 0.5000 0.5000 0.5000
Zn 0.0000 0.5000 0.2500
Zn 0.5000 0.0000 0.7500
Ni 0.0000 0.5000 0.7500
Ni 0.5000 0.0000 0.2500
As 0.0000 0.0000 0.3588
As 0.0000 0.0000 0.6412
As 0.5000 0.5000 0.1412
As 0.5000 0.5000 0.8588


Entry 9:
! ThNi12Sb6, optimized geometry, DFT PBE; values from VASP
! * M_tot: 0.000 μB per cell
! * volume: 16.773 Å³ per atom
! * ρ: 8.69 g/cm3
! * ΔE_f (raw): -0.11 eV per atom
! * SG: R-3m
! * DFT total energy: -103.67 eV/f.u.
&SYSTEM
  ibrav = 0, nat = 19, ntyp = 3
/
ATOMIC_SPECIES
Th 232.04 Th.upf
Ni 58.69 Ni.upf
Sb 121.76 Sb.upf
CELL_PARAMETERS angstrom
5.3540 3.0912 3.2093
-5.3540 3.0912 3.2093
0.0000 -6.1823 3.2093
ATOMIC_POSITIONS crystal
Th 0.0000 0.0000 0.0000
Ni 0.0963 0.3331 0.3331
Ni 0.1182 0.5000 0.8818
Ni 0.1182 0.8818 0.5000
Ni 0.3331 0.0963 0.3331
Ni 0.3331 0.3331 0.0963
Ni 0.5000 0.1182 0.8818
Ni 0.5000 0.8818 0.1182
Ni 0.6669 0.6669 0.9037
Ni 0.6669 0.9037 0.6669
Ni 0.8818 0.1182 0.5000
Ni 0.8818 0.5000 0.1182
Ni 0.9037 0.6669 0.6669
Sb 0.2515 0.2515 0.6680
Sb 0.2515 0.6680 0.2515
Sb 0.3320 0.7485 0.7485
Sb 0.6680 0.2515 0.2515
Sb 0.7485 0.3320 0.7485
Sb 0.7485 0.7485 0.3320


Entry 10:
! KCaSi2, optimized geometry, DFT PBE; values from VASP
! * M_tot: 0.001 μB per cell
! * volume: 27.664 Å³ per atom
! * ρ: 2.03 g/cm3
! * ΔE_f (raw): 0.08 eV per atom
! * SG: P4mm
! * DFT total energy: -13.63 eV/f.u.
! * energy above the most stable polymorph in this dataset: 23.8 kJ per mole of atoms
&SYSTEM
  ibrav = 0, nat = 4, ntyp = 3
/
ATOMIC_SPECIES
K 39.10 K.upf
Ca 40.08 Ca.upf
Si 28.09 Si.upf
CELL_PARAMETERS angstrom
3.4552 0.0000 0.0000
0.0000 3.4552 0.0000
0.0000 0.0000 9.2692
ATOMIC_POSITIONS crystal
K 0.0000 0.0000 0.0000
Ca 0.5000 0.5000 0.5828
Si 0.0000 0.0000 0.3642
Si 0.5000 0.5000 0.2660


Entry 11:
! NpSc2Cd, optimized geometry, DFT PBE; values from VASP
! * M_tot: 3.446 μB per cell
! * volume: 22.382 Å³ per atom
! * ρ: 8.15 g/cm3
! * formation energy: 0.071 eV per atom
! * SG: P4/mmm
! * DFT total energy: -26.24 eV/f.u.
&SYSTEM
  ibrav = 0, nat = 4, ntyp = 3
/
ATOMIC_SPECIES
Np 237.00 Np.upf
Sc 44.96 Sc.upf
Cd 112.41 Cd.upf
CELL_PARAMETERS angstrom
3.1365 0.0000 0.0000
0.0000 3.1365 0.0000
0.0000 0.0000 9.1005
ATOMIC_POSITIONS crystal
Np 0.0000 0.0000 0.0000
Sc 0.5000 0.5000 0.2545
Sc 0.5000 0.5000 0.7455
Cd 0.0000 0.0000 0.5000


Entry 12:
! AlPPt2, optimized geometry, DFT PBE; values from VASP
! * M_tot: 0.000 μB per cell
! * volume: 15.002 Å³ per atom
! * ρ: 12.40 g/cm3
! * formation energy: -0.369 eV per atom
! * SG: Cmmm
! * DFT total energy: -22.71 eV/f.u.
! * energy above the most stable polymorph in this dataset: 21.3 kJ per mole of atoms
&SYSTEM
  ibrav = 0, nat = 8, ntyp = 3
/
ATOMIC_SPECIES
Al 26.98 Al.upf
P 30.97 P.upf
Pt 195.08 Pt.upf
CELL_PARAMETERS angstrom
6.4205 0.0000 0.0000
0.0000 6.4396 0.0000
0.0000 0.0000 2.9028
ATOMIC_POSITIONS crystal
Al 0.0000 0.0000 0.0000
Al 0.5000 0.5000 0.0000
P 0.0000 0.5000 0.0000
P 0.5000 0.0000 0.0000
Pt 0.2500 0.2500 0.5000
Pt 0.2500 0.7500 0.5000
Pt 0.7500 0.2500 0.5000
Pt 0.7500 0.7500 0.5000


Entry 13:
! Tm4BiSb, optimized geometry, DFT PBE; values from VASP
! * M_tot: 0.000 μB per cell
! * volume: 35.583 Å³ per atom
! * ρ: 7.83 g/cm3
! * ΔE_f (raw): -0.13 eV per atom
! * SG: I4_1md
! * DFT total energy: -26.70 eV/f.u.
&SYSTEM
  ibrav = 0, nat = 12, ntyp = 3
/
ATOMIC_SPECIES
Tm 168.93 Tm.upf
Bi 208.98 Bi.upf
Sb 121.76 Sb.upf
CELL_PARAMETERS angstrom
-4.9563 4.9563 4.3457
4.9563 -4.9563 4.3457
4.9563 4.9563 -4.3457
ATOMIC_POSITIONS crystal
Tm 0.1834 0.4827 0.7008
Tm 0.2327 0.0319 0.7992
Tm 0.2327 0.4334 0.2008
Tm 0.2906 0.0000 0.2906
Tm 0.7094 0.0000 0.7094
Tm 0.7500 0.5406 0.7906
Tm 0.7500 0.9594 0.2094
Tm 0.7819 0.4827 0.2992
Bi 0.2471 0.7471 0.5000
Bi 0.4971 0.4971 0.0000
Sb 0.7355 0.2355 0.5000
Sb 0.9855 0.9855 0.0000